No. 1
KSbPt, optimized geometry, DFT GGA-PBE; E_form (uncorrected) = -402 meV per atom
1.0
-3.550 1.490 -2.289
0.579 -4.398 0.621
-2.826 0.272 4.561
Sb Pt K
1 1 1
direct
0.333 0.667 0.500 Sb
0.667 0.333 0.500 Pt
0.000 0.000 0.000 K

=====

No. 2
K3Sb4Pt4, optimized geometry, DFT GGA-PBE; E_form (uncorrected) = -460 meV per atom
1.0
7.294 0.000 0.000
-2.431 6.876 0.000
-2.431 -3.438 5.955
Sb K Pt
4 3 4
direct
0.000 0.000 0.304 Sb
0.696 0.696 0.696 Sb
0.304 0.000 0.000 Sb
0.000 0.304 0.000 Sb
0.500 0.000 0.500 K
0.500 0.500 0.000 K
0.000 0.500 0.500 K
0.661 0.000 0.000 Pt
0.339 0.339 0.339 Pt
0.000 0.000 0.661 Pt
0.000 0.661 0.000 Pt

=====

No. 3
KSb2Pt4, optimized geometry, DFT GGA-PBE; E_form (uncorrected) = -331 meV per atom
1.0
4.175 0.000 0.000
0.000 8.299 0.000
0.000 0.000 8.299
Sb Pt K
4 8 2
direct
0.500 0.722 0.722 Sb
0.500 0.278 0.278 Sb
0.000 0.222 0.778 Sb
0.000 0.778 0.222 Sb
0.500 0.583 0.157 Pt
0.500 0.157 0.583 Pt
0.500 0.843 0.417 Pt
0.000 0.657 0.917 Pt
0.500 0.417 0.843 Pt
0.000 0.083 0.343 Pt
0.000 0.343 0.083 Pt
0.000 0.917 0.657 Pt
0.000 0.500 0.500 K
0.500 0.000 0.000 K

=====

No. 4
KSb2Pt, optimized geometry, DFT GGA-PBE; E_form (uncorrected) = -201 meV per atom
1.0
-0.210 0.396 3.567
-0.711 -3.490 -0.489
8.399 -1.808 0.694
Sb Pt K
2 1 1
direct
0.000 0.000 0.568 Sb
0.000 0.000 0.932 Sb
0.500 0.500 0.750 Pt
0.500 0.500 0.250 K